A plane-wave DFT calculation with PBE-GGA was carried out for LiPuNiAs2 after structural relaxation.

POSCAR file:
```
LiPuNiAs2
1.0
2.629 -6.330 0.000
2.629 6.330 0.000
0.000 0.000 5.399
Li Pu Ni As
2 2 2 4
Direct
0.000 0.000 0.000
0.500 0.500 0.000
0.250 0.750 0.773
0.750 0.250 0.227
0.250 0.250 0.500
0.750 0.750 0.500
0.135 0.865 0.301
0.365 0.635 0.301
0.635 0.365 0.699
0.865 0.135 0.699
```

DOS at the Fermi energy	9.458	states/eV/f.u.
SG	Cmme
ΔE_f	-509	meV per atom
theoretical density	8.5	Mg/m³
total energy	-6.774	eV per atom